{
  "formula": "TbNd2SmDy4",
  "functional": "PBE",
  "state": "optimized geometry",
  "dos_at_fermi_per_ev_fu": 10.80,
  "ef_ev_per_atom": 0.02,
  "cell": [[5.0950, 0.0000, 0.0000], [0.0000, 4.9890, 0.9442], [0.0000, 3.1084, 10.8719]],
  "species": ["Dy", "Dy", "Dy", "Dy", "Sm", "Nd", "Nd", "Tb"],
  "frac_coords": [[0.5000, 0.2509, 0.7491], [0.0000, 0.7509, 0.7488], [0.0000, 0.2491, 0.2512], [0.5000, 0.7491, 0.2509], [0.5000, 0.5000, 0.0000], [0.5000, 0.0000, 0.5000], [0.0000, 0.0000, 0.0000], [0.0000, 0.5000, 0.5000]]
}

{
  "formula": "PrTh3Rh4",
  "functional": "PBE",
  "state": "optimized geometry",
  "dos_at_fermi_per_ev_fu": 6.92,
  "ef_ev_per_atom": -0.82,
  "cell": [[-4.4371, 4.8563, -2.6984], [-2.0933, -6.4923, -2.0436], [-4.7193, -0.5880, 6.7018]],
  "species": ["Rh", "Rh", "Rh", "Rh", "Rh", "Rh", "Rh", "Rh", "Th", "Th", "Th", "Th", "Th", "Th", "Pr", "Pr"],
  "frac_coords": [[0.9927, 0.7471, 0.3841], [0.5022, 0.7362, 0.1297], [0.4927, 0.7471, 0.6159], [0.0022, 0.7362, 0.8703], [0.5073, 0.2529, 0.3841], [0.0073, 0.2529, 0.6159], [0.4978, 0.2638, 0.8703], [0.9978, 0.2638, 0.1297], [0.7500, 0.0000, 0.3726], [0.7500, 0.5000, 0.6273], [0.2500, 0.5000, 0.8720], [0.2500, 0.5000, 0.3727], [0.2500, 0.0000, 0.6274], [0.7500, 0.5000, 0.1280], [0.7500, 0.0000, 0.8730], [0.2500, 0.0000, 0.1270]]
}

{
  "formula": "Pr2MgOsC",
  "functional": "PBE",
  "state": "optimized geometry",
  "dos_at_fermi_per_ev_fu": 2.23,
  "ef_ev_per_atom": -0.17,
  "cell": [[-1.7786, -2.0861, -2.8421], [4.0746, -3.4103, -0.0468], [-2.4299, -2.9538, 3.6886]],
  "species": ["Os", "Mg", "Pr", "Pr", "C"],
  "frac_coords": [[0.5000, 0.0000, 0.0000], [0.5000, 0.5000, 0.5000], [0.0000, 0.5000, 0.0000], [0.0000, 0.0000, 0.5000], [0.0000, 0.0000, 0.0000]]
}

{
  "formula": "Pd3Pt2W",
  "functional": "PBE",
  "state": "optimized geometry",
  "dos_at_fermi_per_ev_fu": 7.30,
  "de_polymorph_ev_per_fu": 0.79,
  "ef_ev_per_atom": 0.43,
  "cell": [[-0.9955, 2.1889, -1.1519], [-3.4033, 0.3550, 3.6155], [7.0265, 3.0891, 2.8837]],
  "species": ["Pd", "Pd", "Pd", "Pt", "Pt", "W"],
  "frac_coords": [[0.0000, 0.5000, 0.0000], [0.8385, 0.8385, 0.6770], [0.1615, 0.1615, 0.3230], [0.6570, 0.6570, 0.3141], [0.3430, 0.3430, 0.6859], [0.0000, 0.0000, 0.0000]]
}

{
  "formula": "Si2HgRu",
  "functional": "PBE",
  "state": "optimized geometry",
  "dos_at_fermi_per_ev_fu": 3.55,
  "raw_formation_energy_ev_per_atom": 0.662,
  "cell": [[-3.1611, -0.1972, 3.2273], [1.2181, -0.3913, 4.3370], [-0.5626, 3.4820, 2.8294]],
  "species": ["Si", "Si", "Ru", "Hg"],
  "frac_coords": [[0.0000, 0.0000, 0.0000], [0.2500, 0.2500, 0.2500], [0.7500, 0.7500, 0.7500], [0.5000, 0.5000, 0.5000]]
}

{
  "formula": "ScMn2InPt",
  "functional": "PBE",
  "state": "optimized geometry",
  "dos_at_fermi_per_ev_fu": 6.99,
  "de_polymorph_ev_per_fu": 0.00,
  "ef_ev_per_atom": 0.41,
  "cell": [[4.8992, 0.0000, 0.0000], [0.0000, 5.0438, 0.0000], [0.0000, 0.0000, 4.8992]],
  "species": ["Pt", "Mn", "Mn", "Sc", "In"],
  "frac_coords": [[0.0000, 0.0000, 0.0000], [0.0000, 0.0000, 0.5000], [0.5000, 0.0000, 0.0000], [0.5000, 0.5000, 0.5000], [0.0000, 0.5000, 0.0000]]
}

Number 1: calculated volume 261 Å³ per cell. Number 2: calculated volume 393 Å³ per cell. Number 3: calculated volume 111 Å³ per cell. Number 4: calculated volume 102 Å³ per cell. Number 5: calculated volume 65 Å³ per cell. Number 6: calculated volume 121 Å³ per cell.